## Tl2AgW (PBE-GGA)

Data for a relaxed Tl2AgW crystal.

a = 5.7888 Å, b = 5.7888 Å, c = 5.1988 Å
α = 110.22°, β = 110.22°, γ = 30.49°
With the nearest neighbours (Å) after each atom.
Fractional coordinates of all 4 atoms:
Tl 0.0000 0.0000 0.0000  3 W 3.02-3.03, 4 Ag 3.03-3.05, 3 Tl 3.04-3.19
Tl 0.2260 0.2260 0.5871  3 Ag 2.91-3.18, 4 W 2.94-3.10, 3 Tl 3.04-3.19
Ag 0.4613 0.4613 0.4677  7 Tl 2.91-3.18, 2 W 2.95, 2 Ag 3.04
W 0.7448 0.7448 0.0832  7 Tl 2.94-3.10, 2 Ag 2.95, 2 W 3.04

Volume, A^3/atom: 20.6
ΔE to the lowest computed polymorph, meV per atom: 43
Total magnetization, μB/f.u.: 0.00
Energy relative to the elements, eV/atom: 0.7402
Space-group type: Cm, No. 8